Here is a geometry-optimized HgP2Br structure from Alexandria. Energies are from GGA-PBE.

Computed properties:
mass density	6.7	Mg/m³
space group	No. 71
excess energy over the best structure of this formula in the dataset	734	meV/atom
magnetization	0.000	μB/atom
density of states at the Fermi level	2.1	states/eV/f.u.
formation energy (no corrections)	0.7631	eV/atom
calculated total energy	-9.742	eV/f.u.

a b c (Å): 5.594 5.594 5.594
angles (deg): 145.66 119.74 71.23
Positions (direct):
Br 0.250 0.750 0.500
P 0.515 0.515 0.000
P 0.985 0.985 0.000
Hg 0.750 0.250 0.500